Below is an optimized crystal structure of Cu2MoRh, with properties calculated at the GGA-PBEsol level.

Calculated values
- size of the total moment (Bohr magnetons per cell) = 0.02
- electronic total energy (eV/atom) = -6.945
- D(E_F) (states/eV per atom) = 1.708
- ΔH_f (0 K) (meV/atom) = 199

abc: 4.2006 4.2006 4.2006
angles: 60.00 60.00 60.00
With the nearest neighbours (Å) after each atom.
Sites, in units of the cell vectors:
Cu (0.0000, 0.0000, 0.0000)  4 Cu 2.57, 4 Rh 2.57
Cu (0.2500, 0.2500, 0.2500)  4 Mo 2.57, 4 Cu 2.57
Mo (0.5000, 0.5000, 0.5000)  4 Cu 2.57, 4 Rh 2.57
Rh (0.7500, 0.7500, 0.7500)  4 Mo 2.57, 4 Cu 2.57